# 1
Entry from Alexandria: crystalline Mn2Au2Br7 at its relaxed geometry (GGA-PBE).

- Formation energy from raw total energies: -0.40 eV/atom
- Calculated volume: 453 Å³ per cell
- E_tot: -41.02 eV for the cell shown
- DOS at the Fermi energy: 1.99 states/eV/f.u.

a = 7.995 Å, b = 7.995 Å, c = 7.880 Å
α = 92.39°, β = 92.39°, γ = 64.23°
Atoms (fractional coordinates):
Mn1 0.151 0.151 0.193
Mn2 0.849 0.849 0.807
Au1 0.248 0.752 0.500
Au2 0.752 0.248 0.500
Br1 0.000 0.000 0.000
Br2 0.127 0.595 0.681
Br3 0.318 0.318 0.130
Br4 0.405 0.873 0.319
Br5 0.595 0.127 0.681
Br6 0.682 0.682 0.870
Br7 0.873 0.405 0.319

***

# 2
Entry from Alexandria: crystalline MnAuBr2 at its relaxed geometry (GGA-PBE).

- Formation energy from raw total energies: 0.36 eV/atom
- Calculated volume: 89 Å³ per cell
- E_tot: -14.36 eV for the cell shown
- E above lowest polymorph: 0.623 eV/atom
- DOS at the Fermi energy: 2.12 states/eV/f.u.

a = 5.008 Å, b = 5.008 Å, c = 5.008 Å
α = 60.00°, β = 60.00°, γ = 60.00°
Atoms (fractional coordinates):
Mn1 0.000 0.000 0.000
Au1 0.750 0.750 0.750
Br1 0.250 0.250 0.250
Br2 0.500 0.500 0.500

***

# 3
Entry from Alexandria: crystalline MnAuBr6 at its relaxed geometry (GGA-PBE).

- Formation energy from raw total energies: -0.37 eV/atom
- Calculated volume: 277 Å³ per cell
- E_tot: -25.41 eV for the cell shown
- DOS at the Fermi energy: 0.63 states/eV/f.u.

a = 6.208 Å, b = 6.208 Å, c = 7.256 Å
α = 93.58°, β = 93.58°, γ = 94.93°
Atoms (fractional coordinates):
Mn1 0.000 0.000 0.000
Au1 0.000 0.000 0.500
Br1 0.120 0.738 0.723
Br2 0.262 0.880 0.277
Br3 0.275 0.275 0.938
Br4 0.725 0.725 0.062
Br5 0.738 0.120 0.723
Br6 0.880 0.262 0.277

***

# 4
Entry from Alexandria: crystalline MnAuBr2 at its relaxed geometry (GGA-PBE).

- Formation energy from raw total energies: -0.05 eV/atom
- Calculated volume: 99 Å³ per cell
- E_tot: -15.98 eV for the cell shown
- E above lowest polymorph: 0.216 eV/atom
- DOS at the Fermi energy: 1.59 states/eV/f.u.

a = 3.560 Å, b = 3.560 Å, c = 7.807 Å
α = 90.00°, β = 90.00°, γ = 90.00°
Atoms (fractional coordinates):
Mn1 0.000 0.000 0.000
Au1 0.500 0.500 0.159
Br1 0.000 0.000 0.352
Br2 0.500 0.500 0.781

***

# 5
Entry from Alexandria: crystalline MnAuBr2 at its relaxed geometry (GGA-PBE).

- Formation energy from raw total energies: -0.12 eV/atom
- Calculated volume: 125 Å³ per cell
- E_tot: -16.27 eV for the cell shown
- E above lowest polymorph: 0.144 eV/atom
- DOS at the Fermi energy: 3.08 states/eV/f.u.

a = 7.306 Å, b = 7.306 Å, c = 3.436 Å
α = 90.00°, β = 90.00°, γ = 137.19°
Atoms (fractional coordinates):
Mn1 0.000 0.000 0.000
Au1 0.500 0.500 0.000
Br1 0.135 0.865 0.500
Br2 0.865 0.135 0.500

***

# 6
Entry from Alexandria: crystalline MnAuBr2 at its relaxed geometry (GGA-PBE).

- Formation energy from raw total energies: -0.26 eV/atom
- Calculated volume: 103 Å³ per cell
- E_tot: -16.85 eV for the cell shown
- E above lowest polymorph: 0.000 eV/atom
- DOS at the Fermi energy: 1.60 states/eV/f.u.

a = 3.771 Å, b = 3.771 Å, c = 8.643 Å
α = 102.53°, β = 102.53°, γ = 60.06°
Atoms (fractional coordinates):
Mn1 0.000 0.000 0.000
Au1 0.728 0.728 0.186
Br1 0.274 0.274 0.821
Br2 0.462 0.462 0.391

***

# 7
Entry from Alexandria: crystalline NaMn2AuBr at its relaxed geometry (GGA-PBE).

- Formation energy from raw total energies: 1.14 eV/atom
- Calculated volume: 148 Å³ per cell
- E_tot: -18.92 eV for the cell shown
- DOS at the Fermi energy: 3.64 states/eV/f.u.

a = 5.456 Å, b = 5.456 Å, c = 4.959 Å
α = 90.00°, β = 90.00°, γ = 90.00°
Atoms (fractional coordinates):
Na1 0.000 0.000 0.000
Mn1 0.000 0.500 0.000
Mn2 0.500 0.000 0.000
Au1 0.000 0.000 0.500
Br1 0.500 0.500 0.500

***

# 8
Entry from Alexandria: crystalline MnNbAu2Br at its relaxed geometry (GGA-PBE).

- Formation energy from raw total energies: 0.75 eV/atom
- Calculated volume: 112 Å³ per cell
- E_tot: -23.69 eV for the cell shown
- DOS at the Fermi energy: 2.99 states/eV/f.u.

a = 4.947 Å, b = 4.947 Å, c = 4.586 Å
α = 90.00°, β = 90.00°, γ = 90.00°
Atoms (fractional coordinates):
Mn1 0.000 0.000 0.000
Nb1 0.000 0.000 0.500
Au1 0.000 0.500 0.000
Au2 0.500 0.000 0.000
Br1 0.500 0.500 0.500